A geometry-optimized TlCrIr2C structure. Source: Alexandria, functional GGA-PBE.

**Space-group type**: No. 123
**Energy of formation**: 3.121 eV/atom

Cell lengths 5.056, 3.954, 5.056 Å; angles 90.00, 90.00, 90.00 degrees
Last column: magnetic moment on the atom in μB.
Fractional coordinates of all 5 atoms:
Ir  0.000  0.000  0.500  -0.41
Ir  0.500  0.000  0.000  -0.48
Cr  0.500  0.500  0.500  -0.03
Tl  0.000  0.000  0.000  0.01
C  0.000  0.500  0.000  0.01